# 1
This record from OQMD describes a geometry-optimized TmBeNi structure. The functional is PBE-GGA.

ρ ... 7.81 Mg/m³
E ... -53.465 eV for the cell shown

abc: 5.8597 5.8597 5.8597
angles: 90.00 90.00 90.00
Sites, in units of the cell vectors:
Tm 0.0000 0.0000 0.0000
Tm 0.0000 0.5000 0.5000
Tm 0.5000 0.0000 0.5000
Tm 0.5000 0.5000 0.0000
Be 0.2500 0.2500 0.7500
Be 0.2500 0.7500 0.2500
Be 0.7500 0.2500 0.2500
Be 0.7500 0.7500 0.7500
Ni 0.0000 0.0000 0.5000
Ni 0.0000 0.5000 0.0000
Ni 0.5000 0.0000 0.0000
Ni 0.5000 0.5000 0.5000


# 2
This record from OQMD describes a geometry-optimized TmBeNi structure. The functional is PBE-GGA.

ρ ... 6.82 Mg/m³
E ... -47.000 eV for the cell shown

abc: 6.1309 6.1309 6.1309
angles: 90.00 90.00 90.00
Sites, in units of the cell vectors:
Tm 0.0000 0.0000 0.0000
Tm 0.0000 0.5000 0.5000
Tm 0.5000 0.0000 0.5000
Tm 0.5000 0.5000 0.0000
Be 0.2500 0.2500 0.7500
Be 0.2500 0.7500 0.2500
Be 0.7500 0.2500 0.2500
Be 0.7500 0.7500 0.7500
Ni 0.2500 0.2500 0.2500
Ni 0.2500 0.7500 0.7500
Ni 0.7500 0.2500 0.7500
Ni 0.7500 0.7500 0.2500


# 3
This record from OQMD describes a geometry-optimized UBeNi structure. The functional is PBE-GGA.

ρ ... 10.58 Mg/m³
E ... -75.948 eV for the cell shown

abc: 5.7691 5.7691 5.7691
angles: 90.00 90.00 90.00
Sites, in units of the cell vectors:
U 0.0000 0.0000 0.0000
U 0.0000 0.5000 0.5000
U 0.5000 0.0000 0.5000
U 0.5000 0.5000 0.0000
Be 0.2500 0.2500 0.7500
Be 0.2500 0.7500 0.2500
Be 0.7500 0.2500 0.2500
Be 0.7500 0.7500 0.7500
Ni 0.0000 0.0000 0.5000
Ni 0.0000 0.5000 0.0000
Ni 0.5000 0.0000 0.0000
Ni 0.5000 0.5000 0.5000


# 4
This record from OQMD describes a geometry-optimized UBeNi structure. The functional is PBE-GGA.

ρ ... 8.98 Mg/m³
E ... -66.107 eV for the cell shown

abc: 6.0920 6.0920 6.0920
angles: 90.00 90.00 90.00
Sites, in units of the cell vectors:
U 0.0000 0.0000 0.0000
U 0.0000 0.5000 0.5000
U 0.5000 0.0000 0.5000
U 0.5000 0.5000 0.0000
Be 0.2500 0.2500 0.7500
Be 0.2500 0.7500 0.2500
Be 0.7500 0.2500 0.2500
Be 0.7500 0.7500 0.7500
Ni 0.2500 0.2500 0.2500
Ni 0.2500 0.7500 0.7500
Ni 0.7500 0.2500 0.7500
Ni 0.7500 0.7500 0.2500


# 5
This record from OQMD describes a geometry-optimized UBeNi structure. The functional is PBE-GGA.

ρ ... 9.93 Mg/m³
E ... -77.734 eV for the cell shown

abc: 5.8921 5.8921 5.8921
angles: 90.00 90.00 90.00
Sites, in units of the cell vectors:
U 0.0000 0.0000 0.0000
U 0.0000 0.5000 0.5000
U 0.5000 0.0000 0.5000
U 0.5000 0.5000 0.0000
Be 0.0000 0.0000 0.5000
Be 0.0000 0.5000 0.0000
Be 0.5000 0.0000 0.0000
Be 0.5000 0.5000 0.5000
Ni 0.2500 0.2500 0.2500
Ni 0.2500 0.7500 0.7500
Ni 0.7500 0.2500 0.7500
Ni 0.7500 0.7500 0.2500


# 6
This record from OQMD describes a geometry-optimized Be2Ni2W3 structure. The functional is PBE-GGA.

ρ ... 12.72 Mg/m³
E ... -56.426 eV for the cell shown

abc: 6.4301 6.4301 6.4301
angles: 37.81 37.81 37.81
Sites, in units of the cell vectors:
Be 0.0000 0.0000 0.0000
Be 0.4301 0.4301 0.4301
Ni 0.1326 0.1326 0.1326
Ni 0.7105 0.7105 0.7105
W 0.2888 0.2888 0.2888
W 0.5688 0.5688 0.5688
W 0.8472 0.8472 0.8472


# 7
This record from OQMD describes a geometry-optimized BeNiW2 structure. The functional is PBE-GGA.

ρ ... 13.35 Mg/m³
E ... -135.600 eV for the cell shown

abc: 6.0050 6.0050 6.0050
angles: 90.00 90.00 90.00
Sites, in units of the cell vectors:
Be 0.0000 0.0000 0.0000
Be 0.0000 0.5000 0.5000
Be 0.5000 0.0000 0.5000
Be 0.5000 0.5000 0.0000
Ni 0.2500 0.2500 0.2500
Ni 0.2500 0.7500 0.7500
Ni 0.7500 0.2500 0.7500
Ni 0.7500 0.7500 0.2500
W 0.0000 0.0000 0.5000
W 0.0000 0.5000 0.0000
W 0.2500 0.2500 0.7500
W 0.2500 0.7500 0.2500
W 0.5000 0.0000 0.0000
W 0.5000 0.5000 0.5000
W 0.7500 0.2500 0.2500
W 0.7500 0.7500 0.7500


# 8
This record from OQMD describes a geometry-optimized BeZnNiW structure. The functional is PBE-GGA.

ρ ... 10.76 Mg/m³
E ... -90.592 eV for the cell shown

abc: 5.8063 5.8063 5.8063
angles: 90.00 90.00 90.00
Sites, in units of the cell vectors:
Be 0.0000 0.0000 0.0000
Be 0.0000 0.5000 0.5000
Be 0.5000 0.0000 0.5000
Be 0.5000 0.5000 0.0000
Zn 0.2500 0.2500 0.2500
Zn 0.2500 0.7500 0.7500
Zn 0.7500 0.2500 0.7500
Zn 0.7500 0.7500 0.2500
Ni 0.0000 0.0000 0.5000
Ni 0.0000 0.5000 0.0000
Ni 0.5000 0.0000 0.0000
Ni 0.5000 0.5000 0.5000
W 0.2500 0.2500 0.7500
W 0.2500 0.7500 0.2500
W 0.7500 0.2500 0.2500
W 0.7500 0.7500 0.7500